Zr2ScHg | Alexandria | PBE-GGA | optimized geometry; VASP energy = -24.3 eV for the cell shown; spin magnetization = 0.0000 μB per atom; D(E_F) = 5.54 states/eV per cell; formation enthalpy at 0 K = -53.6 kJ/mol of formula units
1.0
4.382 0.000 0.000
0.000 4.382 0.000
0.000 0.000 4.578
Zr Sc Hg
2 1 1
Direct
0.000 0.500 0.000
0.500 0.000 0.000
0.000 0.000 0.500
0.500 0.500 0.500


Zr2Sc2Hg | Alexandria | PBE-GGA | optimized geometry; VASP energy = -59.5 eV for the cell shown; spin magnetization = 0.0000 μB per atom; D(E_F) = 12.30 states/eV per cell; E above lowest polymorph = 0 meV per atom; formation enthalpy at 0 K = 28.9 kJ/mol of formula units
1.0
7.444 0.000 0.000
0.000 7.444 0.000
0.000 0.000 4.221
Zr Sc Hg
4 4 2
Direct
0.147 0.353 0.000
0.353 0.853 0.000
0.647 0.147 0.000
0.853 0.647 0.000
0.146 0.646 0.500
0.354 0.146 0.500
0.646 0.854 0.500
0.854 0.354 0.500
0.000 0.000 0.500
0.500 0.500 0.500


Zr2ScHg | Alexandria | PBE-GGA | optimized geometry; VASP energy = -24.2 eV for the cell shown; spin magnetization = 0.0000 μB per atom; D(E_F) = 4.86 states/eV per cell; formation enthalpy at 0 K = -49.5 kJ/mol of formula units
1.0
3.295 0.000 0.000
0.000 4.201 0.000
0.000 0.000 6.495
Zr Sc Hg
2 1 1
Direct
0.000 0.000 0.000
0.500 0.500 0.235
0.500 0.500 0.739
0.000 0.000 0.500


Zr2ScHg | Alexandria | PBE-GGA | optimized geometry; VASP energy = -71.2 eV for the cell shown; spin magnetization = 0.0002 μB per atom; D(E_F) = 18.61 states/eV per cell; formation enthalpy at 0 K = -1.0 kJ/mol of formula units
1.0
3.190 0.000 0.000
-1.595 2.763 0.000
0.000 0.000 31.421
Zr Sc Hg
6 3 3
Direct
0.000 0.000 0.249
0.000 0.000 0.751
0.333 0.667 0.418
0.333 0.667 0.915
0.667 0.333 0.085
0.667 0.333 0.582
0.000 0.000 0.000
0.333 0.667 0.667
0.667 0.333 0.333
0.000 0.000 0.500
0.333 0.667 0.167
0.667 0.333 0.833


ZrSc2Hg2 | Alexandria | PBE-GGA | optimized geometry; VASP energy = -45.9 eV for the cell shown; spin magnetization = 0.1866 μB per atom; D(E_F) = 8.98 states/eV per cell; E above lowest polymorph = 0 meV per atom; formation enthalpy at 0 K = -111.7 kJ/mol of formula units
1.0
8.091 0.000 0.000
0.000 8.091 0.000
0.000 0.000 3.454
Zr Sc Hg
2 4 4
Direct
0.000 0.000 0.000
0.500 0.500 0.000
0.169 0.331 0.500
0.331 0.831 0.500
0.669 0.169 0.500
0.831 0.669 0.500
0.132 0.632 0.000
0.368 0.132 0.000
0.632 0.868 0.000
0.868 0.368 0.000


Zr2ScHg | Alexandria | PBE-GGA | optimized geometry; VASP energy = -47.7 eV for the cell shown; spin magnetization = 0.0000 μB per atom; D(E_F) = 11.11 states/eV per cell; formation enthalpy at 0 K = -11.0 kJ/mol of formula units
1.0
5.996 0.000 0.000
0.000 10.744 0.000
-1.357 0.000 2.785
Zr Sc Hg
4 2 2
Direct
0.250 0.250 0.000
0.250 0.750 0.000
0.750 0.250 0.000
0.750 0.750 0.000
0.000 0.000 0.500
0.500 0.500 0.500
0.000 0.500 0.500
0.500 0.000 0.500


Zr2ScHg | Alexandria | PBE-GGA | optimized geometry; VASP energy = -47.9 eV for the cell shown; spin magnetization = 0.0000 μB per atom; D(E_F) = 13.31 states/eV per cell; formation enthalpy at 0 K = -19.0 kJ/mol of formula units
1.0
6.202 0.000 0.000
0.000 9.020 0.000
0.000 0.000 3.205
Zr Sc Hg
4 2 2
Direct
0.250 0.250 0.000
0.250 0.750 0.000
0.750 0.250 0.000
0.750 0.750 0.000
0.000 0.000 0.500
0.500 0.500 0.500
0.000 0.500 0.500
0.500 0.000 0.500


Zr3ScHg6 | Alexandria | PBE-GGA | optimized geometry; VASP energy = -70.8 eV for the cell shown; spin magnetization = 0.0000 μB per atom; D(E_F) = 15.28 states/eV per cell; formation enthalpy at 0 K = -153.9 kJ/mol of formula units
1.0
9.530 0.000 0.000
0.000 4.542 0.000
-0.939 0.000 10.065
Zr Sc Hg
6 2 12
Direct
0.045 0.250 0.403
0.148 0.750 0.206
0.254 0.250 0.007
0.746 0.750 0.993
0.852 0.250 0.794
0.955 0.750 0.597
0.446 0.250 0.609
0.554 0.750 0.391
0.048 0.750 0.905
0.149 0.250 0.704
0.255 0.750 0.500
0.349 0.250 0.314
0.350 0.750 0.804
0.446 0.750 0.104
0.554 0.250 0.896
0.650 0.250 0.196
0.651 0.750 0.686
0.745 0.250 0.500
0.851 0.750 0.296
0.952 0.250 0.095


Zr3ScHg | Alexandria | PBE-GGA | optimized geometry; VASP energy = -27.2 eV for the cell shown; spin magnetization = 0.0004 μB per atom; D(E_F) = 11.00 states/eV per cell; formation enthalpy at 0 K = 491.8 kJ/mol of formula units
1.0
5.023 0.000 0.000
0.000 5.023 0.000
0.000 0.000 5.023
Zr Sc Hg
3 1 1
Direct
0.000 0.000 0.500
0.000 0.500 0.000
0.500 0.000 0.000
0.000 0.000 0.000
0.500 0.500 0.500


Zr2ScHg | Alexandria | PBE-GGA | optimized geometry; VASP energy = -48.3 eV for the cell shown; spin magnetization = 0.0000 μB per atom; D(E_F) = 12.34 states/eV per cell; formation enthalpy at 0 K = -41.4 kJ/mol of formula units
1.0
4.388 0.000 0.000
0.000 4.388 0.000
0.000 0.000 9.178
Zr Sc Hg
4 2 2
Direct
0.000 0.000 0.000
0.000 0.500 0.250
0.500 0.000 0.750
0.500 0.500 0.500
0.000 0.000 0.500
0.500 0.500 0.000
0.000 0.500 0.750
0.500 0.000 0.250


ZrSc2Hg2 | Alexandria | PBE-GGA | optimized geometry; VASP energy = -44.7 eV for the cell shown; spin magnetization = 0.1912 μB per atom; D(E_F) = 9.45 states/eV per cell; E above lowest polymorph = 126 meV per atom; formation enthalpy at 0 K = -50.8 kJ/mol of formula units
1.0
8.105 0.000 0.000
0.000 8.105 0.000
0.000 0.000 3.426
Zr Sc Hg
2 4 4
Direct
0.000 0.000 0.000
0.500 0.500 0.000
0.149 0.351 0.000
0.351 0.851 0.000
0.649 0.149 0.000
0.851 0.649 0.000
0.151 0.651 0.500
0.349 0.151 0.500
0.651 0.849 0.500
0.849 0.349 0.500


Zr2ScHg | Alexandria | PBE-GGA | optimized geometry; VASP energy = -48.4 eV for the cell shown; spin magnetization = 0.0000 μB per atom; D(E_F) = 7.86 states/eV per cell; formation enthalpy at 0 K = -47.7 kJ/mol of formula units
1.0
11.082 0.000 0.000
0.000 3.265 0.000
-2.286 0.000 4.975
Zr Sc Hg
4 2 2
Direct
0.000 0.000 0.000
0.242 0.000 0.871
0.500 0.500 0.000
0.742 0.500 0.871
0.269 0.500 0.390
0.769 0.000 0.390
0.008 0.500 0.479
0.508 0.000 0.479